# 1
A plane-wave DFT calculation with PBE-GGA was carried out for a relaxed structure of GeAs2F.

Properties
DOS(E_F): 1.77 states/eV/cell
Formation energy without anion corrections: -217 meV/atom

a b c (Å): 4.516 4.516 4.516
angles (deg): 60.00 60.00 60.00
Fractional coordinates of all 4 atoms:
As 0.750 0.750 0.750
As 0.250 0.250 0.250
F 0.000 0.000 0.000
Ge 0.500 0.500 0.500

---

# 2
A plane-wave DFT calculation with PBE-GGA was carried out for a relaxed structure of GeAs3F.

Properties
DOS(E_F): 2.87 states/eV/cell
Formation energy without anion corrections: 601 meV/atom

a b c (Å): 4.920 4.920 4.920
angles (deg): 90.00 90.00 90.00
Fractional coordinates of all 5 atoms:
As 0.500 0.000 0.000
As 0.000 0.000 0.500
As 0.000 0.500 0.000
Ge 0.000 0.000 0.000
F 0.500 0.500 0.500

---

# 3
A plane-wave DFT calculation with PBE-GGA was carried out for a relaxed structure of GeAsF3.

Properties
DOS(E_F): 5.92 states/eV/cell
Formation energy without anion corrections: -1028 meV/atom

a b c (Å): 4.363 4.363 4.363
angles (deg): 90.00 90.00 90.00
Last column: magnetic moment on the atom in μB.
Fractional coordinates of all 5 atoms:
Ge 0.000 0.000 0.000  0.00
F 0.000 0.500 0.000  0.03
F 0.500 0.000 0.000  0.02
F 0.000 0.000 0.500  0.10
As 0.500 0.500 0.500  1.01

---

# 4
A plane-wave DFT calculation with PBE-GGA was carried out for a relaxed structure of GeAsF3.

Properties
DOS(E_F): 2.82 states/eV/cell
Formation energy without anion corrections: -900 meV/atom

a b c (Å): 4.357 4.357 4.357
angles (deg): 90.00 90.00 90.00
Last column: magnetic moment on the atom in μB.
Fractional coordinates of all 5 atoms:
As 0.000 0.000 0.000  0.01
F 0.000 0.500 0.000  0.04
F 0.500 0.000 0.000  0.01
F 0.000 0.000 0.500  0.07
Ge 0.500 0.500 0.500  0.41

---

# 5
A plane-wave DFT calculation with PBE-GGA was carried out for a relaxed structure of GeAsF.

Properties
Formation energy without anion corrections: -970 meV/atom

a b c (Å): 3.873 6.653 5.292
angles (deg): 92.42 89.97 89.99
Fractional coordinates of all 6 atoms:
F 0.985 0.838 0.562
F 0.985 0.265 0.848
Ge 0.985 0.239 0.186
Ge 0.985 0.864 0.224
As 0.485 0.427 0.378
As 0.485 0.675 0.033

---

# 6
A plane-wave DFT calculation with PBE-GGA was carried out for a relaxed structure of GeAs2F.

Properties
Formation energy without anion corrections: -636 meV/atom

a b c (Å): 4.004 8.356 11.756
angles (deg): 114.20 90.00 90.00
Fractional coordinates of all 16 atoms:
F 0.710 0.866 0.184
F 0.290 0.134 0.816
F 0.790 0.366 0.684
F 0.210 0.634 0.316
As 0.368 0.610 0.600
As 0.240 0.028 0.438
As 0.868 0.890 0.900
As 0.632 0.390 0.400
As 0.132 0.110 0.100
As 0.760 0.972 0.562
As 0.260 0.528 0.938
As 0.740 0.472 0.062
Ge 0.536 0.160 0.953
Ge 0.464 0.840 0.047
Ge 0.036 0.340 0.547
Ge 0.964 0.660 0.453

---

# 7
A plane-wave DFT calculation with PBE-GGA was carried out for a relaxed structure of Ge2AsF.

Properties
DOS(E_F): 1.30 states/eV/cell
Formation energy without anion corrections: -420 meV/atom

a b c (Å): 4.592 4.592 4.592
angles (deg): 60.00 60.00 60.00
Fractional coordinates of all 4 atoms:
F 0.000 0.000 0.000
As 0.500 0.500 0.500
Ge 0.750 0.750 0.750
Ge 0.250 0.250 0.250

---

# 8
A plane-wave DFT calculation with PBE-GGA was carried out for a relaxed structure of GeAs2F.

Properties
DOS(E_F): 2.67 states/eV/cell
Formation energy without anion corrections: -103 meV/atom

a b c (Å): 6.016 6.016 6.601
angles (deg): 62.89 62.89 90.00
Fractional coordinates of all 8 atoms:
As 0.875 0.863 0.750
As 0.375 0.387 0.750
As 0.613 0.125 0.250
As 0.137 0.625 0.250
F 0.500 0.500 0.000
F 0.250 0.750 0.500
Ge 0.750 0.250 0.500
Ge 0.000 0.000 0.000

---

# 9
A plane-wave DFT calculation with PBE-GGA was carried out for a relaxed structure of GeAs3F.

Properties
DOS(E_F): 2.52 states/eV/cell
Formation energy without anion corrections: 318 meV/atom

a b c (Å): 4.598 4.598 4.598
angles (deg): 90.00 90.00 90.00
Fractional coordinates of all 5 atoms:
As 0.000 0.000 0.500
As 0.000 0.500 0.000
As 0.500 0.000 0.000
F 0.000 0.000 0.000
Ge 0.500 0.500 0.500

---

# 10
A plane-wave DFT calculation with PBE-GGA was carried out for a relaxed structure of Ge2AsF.

Properties
DOS(E_F): 0.87 states/eV/cell
Formation energy without anion corrections: -394 meV/atom

a b c (Å): 4.749 4.749 7.982
angles (deg): 72.69 72.69 90.00
Fractional coordinates of all 8 atoms:
F 0.250 0.750 0.500
F 0.500 0.500 0.000
Ge 0.375 0.455 0.750
Ge 0.875 0.795 0.750
Ge 0.205 0.625 0.250
Ge 0.545 0.125 0.250
As 0.000 0.000 0.000
As 0.750 0.250 0.500

---

# 11
A plane-wave DFT calculation with PBE-GGA was carried out for a relaxed structure of GeAs2IF.

Properties
DOS(E_F): 5.36 states/eV/cell
Formation energy without anion corrections: 520 meV/atom

a b c (Å): 4.975 5.525 4.975
angles (deg): 90.00 90.00 90.00
Last column: magnetic moment on the atom in μB.
Fractional coordinates of all 5 atoms:
Ge 0.000 0.000 0.000  0.00
I 0.000 0.500 0.000  0.03
As 0.500 0.000 0.000  0.16
As 0.000 0.000 0.500  0.17
F 0.500 0.500 0.500  0.02

---

# 12
A plane-wave DFT calculation with PBE-GGA was carried out for a relaxed structure of InGeAs2F.

Properties
DOS(E_F): 3.03 states/eV/cell
Formation energy without anion corrections: -51 meV/atom

a b c (Å): 5.268 4.182 5.268
angles (deg): 90.00 90.00 90.00
Fractional coordinates of all 5 atoms:
F 0.000 0.500 0.000
Ge 0.500 0.500 0.500
As 0.000 0.000 0.500
As 0.500 0.000 0.000
In 0.000 0.000 0.000

---

# 13
A plane-wave DFT calculation with PBE-GGA was carried out for a relaxed structure of GeAsIrF2.

Properties
DOS(E_F): 0.52 states/eV/cell
Formation energy without anion corrections: -724 meV/atom

a b c (Å): 3.945 5.068 3.945
angles (deg): 90.00 90.00 90.00
Fractional coordinates of all 5 atoms:
Ir 0.000 0.500 0.000
F 0.000 0.000 0.500
F 0.500 0.000 0.000
As 0.000 0.000 0.000
Ge 0.500 0.500 0.500

---

# 14
A plane-wave DFT calculation with PBE-GGA was carried out for a relaxed structure of LaGe2AsF.

Properties
DOS(E_F): 3.60 states/eV/cell
Formation energy without anion corrections: -281 meV/atom

a b c (Å): 5.789 4.406 5.789
angles (deg): 90.00 90.00 90.00
Fractional coordinates of all 5 atoms:
La 0.000 0.000 0.000
Ge 0.500 0.000 0.000
Ge 0.000 0.000 0.500
As 0.500 0.500 0.500
F 0.000 0.500 0.000

---

# 15
A plane-wave DFT calculation with PBE-GGA was carried out for a relaxed structure of GeAsNF2.

Properties
DOS(E_F): 1.72 states/eV/cell
Formation energy without anion corrections: -254 meV/atom

a b c (Å): 4.229 4.229 4.034
angles (deg): 90.00 90.00 90.00
Fractional coordinates of all 5 atoms:
As 0.000 0.000 0.000
N 0.000 0.000 0.500
F 0.500 0.000 0.000
F 0.000 0.500 0.000
Ge 0.500 0.500 0.500

---

# 16
A plane-wave DFT calculation with PBE-GGA was carried out for a relaxed structure of GeAsNF2.

Properties
DOS(E_F): 2.41 states/eV/cell
Formation energy without anion corrections: -208 meV/atom

a b c (Å): 4.126 4.126 3.807
angles (deg): 90.00 90.00 90.00
Fractional coordinates of all 5 atoms:
F 0.500 0.000 0.000
F 0.000 0.500 0.000
N 0.000 0.000 0.500
Ge 0.000 0.000 0.000
As 0.500 0.500 0.500

---

# 17
A plane-wave DFT calculation with PBE-GGA was carried out for a relaxed structure of GeAsN2F.

Properties
DOS(E_F): 1.27 states/eV/cell
Formation energy without anion corrections: 448 meV/atom

a b c (Å): 3.883 3.883 3.748
angles (deg): 90.00 90.00 90.00
Fractional coordinates of all 5 atoms:
Ge 0.000 0.000 0.000
N 0.000 0.500 0.000
N 0.500 0.000 0.000
As 0.500 0.500 0.500
F 0.000 0.000 0.500

---

# 18
A plane-wave DFT calculation with PBE-GGA was carried out for a relaxed structure of GeAsN2F.

Properties
DOS(E_F): 0.31 states/eV/cell
Formation energy without anion corrections: 492 meV/atom

a b c (Å): 3.864 3.864 4.051
angles (deg): 90.00 90.00 90.00
Fractional coordinates of all 5 atoms:
Ge 0.500 0.500 0.500
N 0.500 0.000 0.000
N 0.000 0.500 0.000
F 0.000 0.000 0.500
As 0.000 0.000 0.000

---

Volume across the listed records, respectively: 65.11 119.07 83.05 82.69 68.12 89.69 68.47 91.34 97.21 81.66 136.75 116.05 78.87 147.68 72.14 64.81 56.51 60.48 Å³/f.u..